# VAgP

A relaxed structure of VAgP (PBE, Alexandria via LeMat-Bulk).

Lattice parameters (Å, degrees): 3.125 3.125 9.629 90.00 90.00 90.00
Element x y z (fractional)
V1 0.000 0.500 0.586
V2 0.500 0.000 0.414
P1 0.500 0.000 0.678
P2 0.000 0.500 0.322
Ag1 0.000 0.500 0.902
Ag2 0.500 0.000 0.098

Magnetic moment in μB per cell: 0.00
D(E_F) in states/eV/f.u.: 2.1
E above lowest polymorph in eV/f.u.: 0.00
Formation energy in kJ/mol of formula units: -77